1.
Mg2Zr after structural relaxation. Source: OQMD, functional PBE-GGA.

Unit cell a=10.016 b=10.016 c=10.016 alpha=60.00 beta=60.00 gamma=60.00
Element x y z (fractional)
Zr: 0.250 0.250 0.250
Zr: 0.500 0.500 0.500
Mg: 0.375 0.375 0.875
Mg: 0.375 0.875 0.375
Mg: 0.875 0.375 0.375
Mg: 0.375 0.375 0.375

Calculated values
The total energy comes out at -1.88 eV per atom.



2.
Mo2N after structural relaxation. Source: OQMD, functional PBE-GGA.

Unit cell a=5.813 b=8.418 c=5.952 alpha=90.00 beta=90.00 gamma=90.00
Element x y z (fractional)
Mo: 0.780 0.000 0.254
Mo: 0.220 0.000 0.254
Mo: 0.000 0.757 0.526
Mo: 0.000 0.243 0.526
Mo: 0.500 0.749 0.532
Mo: 0.500 0.256 0.984
Mo: 0.000 0.751 0.987
Mo: 0.248 0.000 0.749
Mo: 0.500 0.251 0.532
Mo: 0.748 0.500 0.210
Mo: 0.750 0.500 0.756
Mo: 0.000 0.249 0.987
Mo: 0.500 0.744 0.984
Mo: 0.752 0.000 0.749
Mo: 0.250 0.500 0.756
Mo: 0.252 0.500 0.210
N: 0.500 0.000 0.005
N: 0.247 0.252 0.252
N: 0.500 0.000 0.497
N: 0.753 0.748 0.252
N: 0.753 0.252 0.252
N: 0.000 0.500 0.494
N: 0.247 0.748 0.252
N: 0.500 0.500 0.497

Calculated values
The total energy comes out at -10.24 eV per atom.



3.
Mo5N after structural relaxation. Source: OQMD, functional PBE-GGA.

Unit cell a=4.945 b=4.945 c=4.804 alpha=90.00 beta=90.00 gamma=120.00
Element x y z (fractional)
Mo: 0.667 0.333 0.000
Mo: 0.333 0.667 0.000
Mo: 0.500 0.000 0.500
Mo: 0.500 0.500 0.500
Mo: 0.000 0.500 0.500
N: 0.000 0.000 0.000

Calculated values
The total energy comes out at -8.89 eV per atom.



4.
Mo2N after structural relaxation. Source: OQMD, functional PBE-GGA.

Unit cell a=6.234 b=6.234 c=6.234 alpha=60.00 beta=60.00 gamma=60.00
Element x y z (fractional)
Mo: 0.375 0.375 0.375
Mo: 0.375 0.375 0.875
Mo: 0.875 0.375 0.375
Mo: 0.375 0.875 0.375
N: 0.250 0.250 0.250
N: 0.500 0.500 0.500

Calculated values
The total energy comes out at -8.20 eV per atom.



5.
Mo4N3 after structural relaxation. Source: OQMD, functional PBE-GGA.

Unit cell a=5.376 b=5.376 c=5.376 alpha=149.03 beta=96.98 gamma=91.20
Element x y z (fractional)
N: 0.200 0.000 0.200
N: 0.800 0.000 0.800
N: 0.675 0.675 0.000
Mo: 0.581 0.285 0.296
Mo: 0.989 0.285 0.704
Mo: 0.462 0.962 0.500
Mo: 0.113 0.613 0.500

Calculated values
The total energy comes out at -10.12 eV per atom.



6.
Mo5N6 after structural relaxation. Source: OQMD, functional PBE-GGA.

Unit cell a=4.891 b=4.891 c=11.191 alpha=90.00 beta=90.00 gamma=120.00
Element x y z (fractional)
Mo: 0.333 0.667 0.750
Mo: 0.667 0.333 0.750
Mo: 0.667 0.333 0.250
Mo: 0.333 0.667 0.250
Mo: 0.667 0.333 0.000
Mo: 0.667 0.333 0.500
Mo: 0.000 0.000 0.500
Mo: 0.000 0.000 0.000
Mo: 0.333 0.667 0.000
Mo: 0.333 0.667 0.500
N: 0.000 0.339 0.125
N: 0.000 0.661 0.625
N: 0.000 0.339 0.375
N: 0.661 0.000 0.875
N: 0.339 0.000 0.375
N: 0.661 0.661 0.375
N: 0.000 0.661 0.875
N: 0.661 0.000 0.625
N: 0.339 0.339 0.625
N: 0.339 0.339 0.875
N: 0.661 0.661 0.125
N: 0.339 0.000 0.125

Calculated values
The total energy comes out at -9.71 eV per atom.



7.
Mo2N after structural relaxation. Source: OQMD, functional PBE-GGA.

Unit cell a=2.907 b=4.208 c=5.951 alpha=90.00 beta=90.00 gamma=90.00
Element x y z (fractional)
N: 0.000 0.000 0.877
N: 0.500 0.500 0.123
Mo: 0.000 0.500 0.384
Mo: 0.500 0.000 0.616
Mo: 0.500 0.000 0.163
Mo: 0.000 0.500 0.837

Calculated values
The total energy comes out at -10.28 eV per atom.



8.
Mo2N after structural relaxation. Source: OQMD, functional PBE-GGA.

Unit cell a=5.041 b=5.041 c=2.959 alpha=90.00 beta=90.00 gamma=90.00
Element x y z (fractional)
Mo: 0.285 0.285 0.000
Mo: 0.785 0.215 0.500
Mo: 0.715 0.715 0.000
Mo: 0.215 0.785 0.500
N: 0.500 0.500 0.500
N: 0.000 0.000 0.000

Calculated values
The total energy comes out at -10.18 eV per atom.



9.
Nd3Nb3Mo2N12 after structural relaxation. Source: OQMD, functional PBE-GGA.

Unit cell a=11.263 b=11.263 c=11.263 alpha=109.47 beta=109.47 gamma=109.47
Element x y z (fractional)
Nb: 0.375 0.625 0.750
Nb: 0.250 0.625 0.375
Nb: 0.750 0.875 0.125
Nb: 0.625 0.750 0.375
Nb: 0.875 0.250 0.125
Nb: 0.125 0.875 0.250
Nb: 0.250 0.125 0.875
Nb: 0.125 0.750 0.875
Nb: 0.875 0.125 0.750
Nb: 0.750 0.375 0.625
Nb: 0.375 0.250 0.625
Nb: 0.625 0.375 0.250
N: 0.614 0.419 0.095
N: 0.581 0.176 0.196
N: 0.419 0.095 0.614
N: 0.804 0.886 0.980
N: 0.081 0.696 0.676
N: 0.905 0.386 0.581
N: 0.696 0.520 0.614
N: 0.595 0.919 0.114
N: 0.114 0.020 0.196
N: 0.176 0.196 0.581
N: 0.419 0.824 0.804
N: 0.824 0.804 0.419
N: 0.480 0.386 0.304
N: 0.114 0.595 0.919
N: 0.919 0.304 0.324
N: 0.304 0.324 0.919
N: 0.020 0.196 0.114
N: 0.581 0.905 0.386
N: 0.324 0.905 0.020
N: 0.824 0.520 0.405
N: 0.020 0.324 0.905
N: 0.676 0.081 0.696
N: 0.176 0.480 0.595
N: 0.886 0.980 0.804
N: 0.095 0.980 0.676
N: 0.919 0.114 0.595
N: 0.386 0.581 0.905
N: 0.980 0.676 0.095
N: 0.196 0.581 0.176
N: 0.304 0.480 0.386
N: 0.196 0.114 0.020
N: 0.386 0.304 0.480
N: 0.324 0.919 0.304
N: 0.520 0.614 0.696
N: 0.905 0.020 0.324
N: 0.095 0.614 0.419
N: 0.696 0.676 0.081
N: 0.480 0.595 0.176
N: 0.405 0.081 0.886
N: 0.595 0.176 0.480
N: 0.886 0.405 0.081
N: 0.676 0.095 0.980
N: 0.081 0.886 0.405
N: 0.980 0.804 0.886
N: 0.405 0.824 0.520
N: 0.614 0.696 0.520
N: 0.804 0.419 0.824
N: 0.520 0.405 0.824
Mo: 0.500 0.000 0.000
Mo: 0.000 0.000 0.500
Mo: 0.000 0.500 0.000
Mo: 0.000 0.000 0.000
Mo: 0.000 0.500 0.500
Mo: 0.500 0.000 0.500
Mo: 0.500 0.500 0.000
Mo: 0.500 0.500 0.500
Nd: 0.625 0.875 0.750
Nd: 0.625 0.250 0.875
Nd: 0.125 0.250 0.375
Nd: 0.375 0.750 0.125
Nd: 0.125 0.375 0.750
Nd: 0.250 0.875 0.625
Nd: 0.750 0.625 0.875
Nd: 0.875 0.750 0.625
Nd: 0.250 0.375 0.125
Nd: 0.875 0.625 0.250
Nd: 0.375 0.125 0.250
Nd: 0.750 0.125 0.375

Calculated values
The total energy comes out at -9.08 eV per atom.



10.
Nb4Ni3Mo2N3 after structural relaxation. Source: OQMD, functional PBE-GGA.

Unit cell a=5.069 b=5.069 c=14.082 alpha=100.37 beta=100.37 gamma=59.93
Element x y z (fractional)
Nb: 0.701 0.866 0.102
Nb: 0.034 0.201 0.102
Nb: 0.299 0.134 0.898
Nb: 0.966 0.799 0.898
Nb: 0.866 0.701 0.602
Nb: 0.201 0.034 0.602
Nb: 0.799 0.966 0.398
Nb: 0.134 0.299 0.398
N: 0.668 0.165 0.000
N: 0.500 0.000 0.500
N: 0.332 0.835 0.000
N: 0.000 0.500 0.000
N: 0.165 0.668 0.500
N: 0.835 0.332 0.500
Mo: 0.532 0.367 0.598
Mo: 0.367 0.532 0.098
Mo: 0.468 0.633 0.402
Mo: 0.633 0.468 0.902
Ni: 0.582 0.112 0.750
Ni: 0.418 0.888 0.250
Ni: 0.727 0.273 0.250
Ni: 0.888 0.418 0.750
Ni: 0.273 0.727 0.750
Ni: 0.112 0.582 0.250

Calculated values
The total energy comes out at -8.98 eV per atom.



11.
Nb4Mo2S3N3 after structural relaxation. Source: OQMD, functional PBE-GGA.

Unit cell a=5.685 b=5.685 c=12.082 alpha=103.33 beta=103.33 gamma=59.42
Element x y z (fractional)
Nb: 0.987 0.245 0.602
Nb: 0.755 0.013 0.898
Nb: 0.696 0.819 0.600
Nb: 0.013 0.755 0.398
Nb: 0.181 0.304 0.900
Nb: 0.819 0.696 0.100
Nb: 0.304 0.181 0.400
Nb: 0.245 0.987 0.102
S: 0.586 0.747 0.263
S: 0.747 0.586 0.763
S: 0.910 0.090 0.250
S: 0.414 0.253 0.737
S: 0.090 0.910 0.750
S: 0.253 0.414 0.237
N: 0.146 0.680 0.003
N: 0.320 0.854 0.497
N: 0.500 0.000 0.000
N: 0.680 0.146 0.503
N: 0.000 0.500 0.500
N: 0.854 0.320 0.997
Mo: 0.598 0.466 0.403
Mo: 0.534 0.402 0.097
Mo: 0.402 0.534 0.597
Mo: 0.466 0.598 0.903

Calculated values
The total energy comes out at -8.91 eV per atom.



12.
Nb4Sb3Mo2N3 after structural relaxation. Source: OQMD, functional PBE-GGA.

Unit cell a=5.770 b=5.770 c=13.416 alpha=102.31 beta=102.31 gamma=59.78
Element x y z (fractional)
Nb: 0.696 0.844 0.581
Nb: 0.792 0.990 0.919
Nb: 0.990 0.792 0.419
Nb: 0.156 0.304 0.919
Nb: 0.304 0.156 0.419
Nb: 0.208 0.010 0.081
Nb: 0.010 0.208 0.581
Nb: 0.844 0.696 0.081
Mo: 0.468 0.622 0.917
Mo: 0.378 0.532 0.583
Mo: 0.532 0.378 0.083
Mo: 0.622 0.468 0.417
N: 0.163 0.667 0.001
N: 0.333 0.837 0.499
N: 0.837 0.333 0.999
N: 0.000 0.500 0.500
N: 0.500 0.000 0.000
N: 0.667 0.163 0.501
Sb: 0.912 0.088 0.250
Sb: 0.088 0.912 0.750
Sb: 0.584 0.745 0.250
Sb: 0.416 0.255 0.750
Sb: 0.745 0.584 0.750
Sb: 0.255 0.416 0.250

Calculated values
The total energy comes out at -8.60 eV per atom.



13.
Nb2Sb3Mo4N3 after structural relaxation. Source: OQMD, functional PBE-GGA.

Unit cell a=5.745 b=5.745 c=13.313 alpha=102.49 beta=102.49 gamma=59.96
Element x y z (fractional)
Sb: 0.583 0.756 0.250
Sb: 0.079 0.921 0.750
Sb: 0.756 0.583 0.750
Sb: 0.417 0.244 0.750
Sb: 0.244 0.417 0.250
Sb: 0.921 0.079 0.250
Nb: 0.343 0.524 0.578
Nb: 0.524 0.343 0.078
Nb: 0.657 0.476 0.422
Nb: 0.476 0.657 0.922
N: 0.500 0.000 0.000
N: 0.337 0.825 0.500
N: 0.000 0.500 0.500
N: 0.175 0.663 0.000
N: 0.825 0.337 0.000
N: 0.663 0.175 0.500
Mo: 0.952 0.824 0.420
Mo: 0.176 0.048 0.080
Mo: 0.308 0.118 0.418
Mo: 0.692 0.882 0.582
Mo: 0.824 0.952 0.920
Mo: 0.048 0.176 0.580
Mo: 0.882 0.692 0.082
Mo: 0.118 0.308 0.918

Calculated values
The total energy comes out at -8.54 eV per atom.



14.
Nb4Si3Mo2N3 after structural relaxation. Source: OQMD, functional PBE-GGA.

Unit cell a=5.491 b=5.491 c=12.736 alpha=102.54 beta=102.54 gamma=60.01
Element x y z (fractional)
Nb: 0.026 0.208 0.101
Nb: 0.298 0.142 0.899
Nb: 0.208 0.026 0.601
Nb: 0.858 0.702 0.601
Nb: 0.142 0.298 0.399
Nb: 0.974 0.792 0.899
Nb: 0.702 0.858 0.101
Nb: 0.792 0.974 0.399
Mo: 0.470 0.631 0.415
Mo: 0.369 0.530 0.085
Mo: 0.631 0.470 0.915
Mo: 0.530 0.369 0.585
N: 0.324 0.852 0.000
N: 0.500 0.000 0.500
N: 0.000 0.500 0.000
N: 0.676 0.148 0.000
N: 0.852 0.324 0.500
N: 0.148 0.676 0.500
Si: 0.418 0.292 0.250
Si: 0.292 0.418 0.750
Si: 0.582 0.708 0.750
Si: 0.875 0.125 0.750
Si: 0.708 0.582 0.250
Si: 0.125 0.875 0.250

Calculated values
The total energy comes out at -9.13 eV per atom.



15.
Nb2Si3Mo4N3 after structural relaxation. Source: OQMD, functional PBE-GGA.

Unit cell a=5.203 b=5.203 c=13.181 alpha=101.37 beta=101.37 gamma=62.11
Element x y z (fractional)
Si: 0.970 0.030 0.750
Si: 0.172 0.424 0.751
Si: 0.576 0.828 0.749
Si: 0.424 0.172 0.251
Si: 0.828 0.576 0.249
Si: 0.030 0.970 0.250
N: 0.650 0.203 0.000
N: 0.000 0.500 0.000
N: 0.350 0.797 0.000
N: 0.203 0.650 0.500
N: 0.500 0.000 0.500
N: 0.797 0.350 0.500
Nb: 0.634 0.465 0.884
Nb: 0.366 0.535 0.116
Nb: 0.465 0.634 0.384
Nb: 0.535 0.366 0.616
Mo: 0.953 0.823 0.911
Mo: 0.870 0.707 0.590
Mo: 0.130 0.293 0.410
Mo: 0.177 0.047 0.589
Mo: 0.293 0.130 0.910
Mo: 0.047 0.177 0.089
Mo: 0.707 0.870 0.090
Mo: 0.823 0.953 0.411

Calculated values
The total energy comes out at -9.09 eV per atom.